Below is a relaxed structure of V3P6O20, with properties calculated at the GGA+U level.

Unit cell a=8.4673 b=8.4673 c=12.3973 alpha=90.00 beta=90.00 gamma=105.37
With the nearest neighbours (Å) after each atom.
Fractional coordinates of all 58 atoms:
V1 0.2123 0.7877 0.7500  6 O 1.92-1.97
V2 0.2608 0.7392 0.2500  6 O 2.03-2.05
V3 0.3511 0.3511 0.0000  4 O 1.91-1.93
V4 0.6489 0.6489 0.5000  4 O 1.91-1.93
V5 0.7392 0.2608 0.7500  6 O 2.03-2.05
V6 0.7877 0.2123 0.2500  6 O 1.92-1.97
P1 0.1344 0.4013 0.6800  4 O 1.49-1.60
P2 0.1910 0.3196 0.2231  4 O 1.50-1.63
P3 0.2466 0.6463 0.5153  4 O 1.50-1.65
P4 0.3196 0.1910 0.7769  4 O 1.50-1.63
P5 0.3537 0.7534 0.9847  4 O 1.50-1.65
P6 0.4013 0.1344 0.3200  4 O 1.49-1.60
P7 0.5987 0.8656 0.8200  4 O 1.49-1.60
P8 0.6463 0.2466 0.4847  4 O 1.50-1.65
P9 0.6804 0.8090 0.2769  4 O 1.50-1.63
P10 0.7534 0.3537 0.0153  4 O 1.50-1.65
P11 0.8090 0.6804 0.7231  4 O 1.50-1.63
P12 0.8656 0.5987 0.1800  4 O 1.49-1.60
O1 0.0195 0.2444 0.2674  1 P 1.52
O2 0.0259 0.7205 0.2006  1 P 1.49
O3 0.1459 0.4628 0.5575  2 P 1.60-1.65
O4 0.1798 0.5500 0.7547  1 P 1.53
O5 0.1905 0.6565 0.4010  1 P 1.50
O6 0.1959 0.7668 0.5920  1 P 1.54
O7 0.2232 0.2348 0.1184  1 P 1.54
O8 0.2332 0.8041 0.9080  1 P 1.54
O9 0.2348 0.2232 0.8816  1 P 1.54
O10 0.2373 0.5022 0.2079  1 P 1.50
O11 0.2444 0.0195 0.7326  1 P 1.52
O12 0.2795 0.3128 0.6851  2 P 1.60-1.63
O13 0.2795 0.9741 0.2994  1 P 1.49
O14 0.3128 0.2795 0.3149  2 P 1.60-1.63
O15 0.3435 0.8095 0.0990  1 P 1.50
O16 0.3482 0.5720 0.9719  1 P 1.53
O17 0.4280 0.6518 0.5281  1 P 1.53
O18 0.4500 0.8202 0.7453  1 P 1.53
O19 0.4628 0.1459 0.4425  2 P 1.60-1.65
O20 0.4978 0.7627 0.2921  1 P 1.50
O21 0.5022 0.2373 0.7921  1 P 1.50
O22 0.5372 0.8541 0.9425  2 P 1.60-1.65
O23 0.5500 0.1798 0.2453  1 P 1.53
O24 0.5720 0.3482 0.0281  1 P 1.53
O25 0.6518 0.4280 0.4719  1 P 1.53
O26 0.6565 0.1905 0.5990  1 P 1.50
O27 0.6872 0.7205 0.8149  2 P 1.60-1.63
O28 0.7205 0.0259 0.7994  1 P 1.49
O29 0.7205 0.6872 0.1851  2 P 1.60-1.63
O30 0.7556 0.9805 0.2326  1 P 1.52
O31 0.7627 0.4978 0.7079  1 P 1.50
O32 0.7652 0.7768 0.3816  1 P 1.54
O33 0.7668 0.1959 0.4080  1 P 1.54
O34 0.7768 0.7652 0.6184  1 P 1.54
O35 0.8041 0.2332 0.0920  1 P 1.54
O36 0.8095 0.3435 0.9010  1 P 1.50
O37 0.8202 0.4500 0.2547  1 P 1.53
O38 0.8541 0.5372 0.0575  2 P 1.60-1.65
O39 0.9741 0.2795 0.7006  1 P 1.49
O40 0.9805 0.7556 0.7674  1 P 1.52

Results
The total energy comes out at -7.458 eV/atom. The size of the total moment comes out at 5.000 μB per formula unit.